#1
This record from the Alexandria database describes a relaxed structure of CaMn3O. The functional is GGA+U.

Geometry as POSCAR:
```
CaMn3O
1.0
-3.924 1.683 -1.771
-1.992 -4.144 0.477
-1.414 1.168 4.243
Mn Ca O
3 1 1
direct
0.000 0.000 0.500
0.000 0.500 0.000
0.500 0.000 0.000
0.500 0.500 0.500
0.000 0.000 0.000
```

Summary:
**Volume**: 99 Å³ per cell

---

#2
This record from the Alexandria database describes a relaxed structure of CaMn3O. The functional is GGA+U.

Geometry as POSCAR:
```
CaMn3O
1.0
-4.118 -0.282 2.570
-1.329 -3.915 -2.559
2.217 -2.870 3.238
Mn O Ca
3 1 1
direct
0.000 0.000 0.500
0.500 0.000 0.000
0.000 0.500 0.000
0.500 0.500 0.500
0.000 0.000 0.000
```

Summary:
**Volume**: 115 Å³ per cell

---

Stability ranking, top entry: #1; the second entry is 3.786 eV/atom less favorable.

---

#1
This record from the Alexandria database describes a relaxed structure of Ca3Mn2O7. The functional is GGA+U.

Geometry as POSCAR:
```
Ca3Mn2O7
1.0
-2.683 -6.818 -7.398
4.624 -2.164 0.317
0.206 -4.927 4.466
O Mn Ca
14 4 6
direct
0.521 0.291 0.002
0.021 0.709 0.998
0.300 0.857 0.962
0.703 0.649 0.031
0.592 0.820 0.315
0.800 0.143 0.038
0.145 0.860 0.301
0.866 0.627 0.721
0.366 0.373 0.279
0.398 0.676 0.675
0.203 0.351 0.969
0.645 0.140 0.699
0.898 0.324 0.325
0.092 0.180 0.685
0.364 0.508 0.964
0.864 0.492 0.036
0.639 0.004 0.015
0.139 0.996 0.985
0.588 0.328 0.333
0.869 0.147 0.685
0.088 0.672 0.667
0.369 0.853 0.315
0.129 0.361 0.308
0.629 0.639 0.692
```

Summary:
**Volume**: 327 Å³ per cell

---

#2
This record from the Alexandria database describes a relaxed structure of Ca3Mn2O7. The functional is GGA+U.

Geometry as POSCAR:
```
Ca3Mn2O7
1.0
10.050 -0.004 0.000
8.620 5.166 0.000
-9.335 -2.581 2.682
Ca O Mn
3 7 2
direct
0.316 0.316 0.000
0.500 0.500 0.000
0.684 0.684 0.000
0.598 0.098 0.500
0.402 0.902 0.500
0.000 0.000 0.000
0.198 0.198 0.000
0.902 0.402 0.500
0.802 0.802 0.000
0.098 0.598 0.500
0.900 0.900 0.000
0.100 0.100 0.000
```

Summary:
**Volume**: 139 Å³ per cell

---

Stability ranking, top entry: #2; the second entry is 0.138 eV/atom less favorable.

---

#1
This record from the Alexandria database describes a relaxed structure of CaMnP2O. The functional is GGA+U.

Geometry as POSCAR:
```
CaMnP2O
1.0
4.990 0.000 0.000
0.000 4.990 0.000
0.000 0.000 3.663
Ca P Mn O
1 2 1 1
direct
0.500 0.500 0.500
0.000 0.500 0.000
0.500 0.000 0.000
0.000 0.000 0.000
0.000 0.000 0.500
```

Summary:
**Volume**: 91 Å³ per cell

---

#2
This record from the Alexandria database describes a relaxed structure of CaMnP2O. The functional is GGA+U.

Geometry as POSCAR:
```
CaMnP2O
1.0
-0.513 4.626 -2.535
0.867 -2.439 -4.626
-4.079 -0.676 -0.408
P Mn Ca O
2 1 1 1
direct
0.500 0.000 0.000
0.000 0.500 0.000
0.500 0.500 0.500
0.000 0.000 0.000
0.000 0.000 0.500
```

Summary:
**Volume**: 117 Å³ per cell

---

Stability ranking, top entry: #1; the second entry is 0.884 eV/atom less favorable.

---

#1
This record from the Alexandria database describes a relaxed structure of SrCaTiMnO6. The functional is GGA+U.

Geometry as POSCAR:
```
SrCaTiMnO6
1.0
-2.086 -2.618 1.974
1.322 -2.813 -2.333
5.998 -1.161 4.799
O Ti Sr Mn Ca
6 1 1 1 1
direct
0.500 0.500 0.742
0.500 0.500 0.251
0.500 0.000 0.999
0.500 0.000 0.485
0.000 0.500 0.485
0.000 0.500 0.999
0.500 0.500 0.011
0.000 0.000 0.751
0.500 0.500 0.502
0.000 0.000 0.272
```

Summary:
**Volume**: 117 Å³ per cell

---

#2
This record from the Alexandria database describes a relaxed structure of SrCaTiMnO6. The functional is GGA+U.

Geometry as POSCAR:
```
SrCaTiMnO6
1.0
-2.048 4.403 2.529
2.224 -1.692 4.747
6.425 3.916 -1.615
Mn O Ca Ti Sr
2 12 2 2 2
direct
0.750 0.749 0.503
0.250 0.251 0.503
0.750 0.679 0.746
0.000 0.000 0.964
0.000 0.500 0.469
0.250 0.198 0.255
0.500 0.000 0.547
0.500 0.500 0.024
0.750 0.802 0.255
0.000 0.000 0.547
0.000 0.500 0.024
0.500 0.000 0.964
0.500 0.500 0.469
0.250 0.321 0.746
0.750 0.245 0.745
0.250 0.755 0.745
0.250 0.252 0.994
0.750 0.748 0.994
0.750 0.254 0.252
0.250 0.746 0.252
```

Summary:
**Volume**: 232 Å³ per cell

---

#3
This record from the Alexandria database describes a relaxed structure of SrCaTiMnO6. The functional is GGA+U.

Geometry as POSCAR:
```
SrCaTiMnO6
1.0
-5.430 0.246 0.510
0.326 -2.665 4.755
0.654 6.728 3.720
Sr Ti O Mn Ca
2 2 12 2 2
direct
0.985 0.503 0.749
0.485 0.997 0.751
0.001 0.998 0.495
0.501 0.502 0.005
0.272 0.222 0.035
0.772 0.278 0.465
0.723 0.772 0.520
0.228 0.725 0.520
0.488 0.562 0.253
0.002 0.044 0.753
0.502 0.456 0.747
0.276 0.229 0.465
0.728 0.775 0.980
0.223 0.728 0.980
0.776 0.271 0.035
0.988 0.938 0.247
0.500 0.501 0.496
0.000 0.999 0.004
0.026 0.496 0.250
0.526 0.004 0.250
```

Summary:
**Volume**: 230 Å³ per cell

---

Stability ranking, top entry: #3; the second entry is 0.014 eV/atom less favorable.